[1]
Density functional theory data (PBE-GGA) for a relaxed Na12Cd5Hg2 crystal.

- E_form (eV per atom) = -0.094
- ΔE to the lowest computed polymorph (eV per atom) = 0.0074
- total magnetic moment (μB/atom) = 0.000

a b c (Å): 21.655 10.198 5.014
angles (deg): 90.00 103.38 90.00
Space group C2/m (No. 12)
One atom of each set of equivalent atoms:
Na 0.083 0.000 0.083
Na 0.091 0.239 0.590
Na 0.104 0.500 0.104
Na 0.200 0.241 0.200
Cd 0.000 0.500 0.500
Cd 0.204 0.500 0.704
Cd 0.206 0.000 0.705
Hg 0.000 0.279 0.000

[2]
Density functional theory data (PBE-GGA) for a relaxed Na7CdHg5 crystal.

- E_form (eV per atom) = -0.166
- total magnetic moment (μB/atom) = 0.000

a b c (Å): 6.161 10.955 10.821
angles (deg): 90.00 90.00 90.00
Space group Imm2 (No. 44)
One atom of each set of equivalent atoms:
Na 0.000 0.000 0.000
Na 0.000 0.000 0.356
Na 0.000 0.295 0.546
Na 0.000 0.346 0.031
Na 0.000 0.500 0.307
Cd 0.000 0.000 0.671
Hg 0.000 0.500 0.754
Hg 0.250 0.241 0.792

[3]
Density functional theory data (PBE-GGA) for a relaxed NaCd6Hg6 crystal.

- E_form (eV per atom) = -0.029
- ΔE to the lowest computed polymorph (eV per atom) = 0.0000
- total magnetic moment (μB/atom) = 0.000

a b c (Å): 6.076 10.346 10.406
angles (deg): 90.00 90.00 90.00
Space group Immm (No. 71)
One atom of each set of equivalent atoms:
Na 0.000 0.000 0.000
Cd 0.000 0.238 0.500
Cd 0.250 0.250 0.250
Hg 0.000 0.000 0.317
Hg 0.000 0.355 0.000
Hg 0.000 0.500 0.342

[4]
Density functional theory data (PBE-GGA) for a relaxed Na3Cd6Hg5 crystal.

- E_form (eV per atom) = -0.117
- total magnetic moment (μB/atom) = 0.000

a b c (Å): 4.903 14.169 10.411
angles (deg): 90.00 90.00 90.00
Space group Pmmn (No. 59, origin choice 2)
One atom of each set of equivalent atoms:
Na 0.250 0.041 0.249
Na 0.250 0.750 0.244
Cd 0.250 0.088 0.901
Cd 0.250 0.250 0.088
Cd 0.250 0.250 0.438
Cd 0.250 0.601 0.525
Hg 0.250 0.095 0.628
Hg 0.250 0.617 0.956
Hg 0.250 0.750 0.727

[5]
Density functional theory data (PBE-GGA) for a relaxed Na5Cd12Hg2 crystal.

- E_form (eV per atom) = -0.060
- total magnetic moment (μB/atom) = 0.000

a b c (Å): 14.978 8.099 7.770
angles (deg): 90.00 91.36 90.00
Space group C2/m (No. 12)
One atom of each set of equivalent atoms:
Na 0.000 0.000 0.000
Na 0.194 0.500 0.497
Na 0.241 0.000 0.078
Cd 0.053 0.500 0.833
Cd 0.098 0.000 0.398
Cd 0.124 0.303 0.164
Cd 0.153 0.182 0.756
Hg 0.000 0.307 0.500

[6]
Density functional theory data (PBE-GGA) for a relaxed NaCd4Hg crystal.

- E_form (eV per atom) = -0.061
- ΔE to the lowest computed polymorph (eV per atom) = 0.0000
- total magnetic moment (μB/atom) = 0.000

a b c (Å): 3.935 17.687 8.516
angles (deg): 90.00 90.00 90.00
Space group Cmcm (No. 63)
One atom of each set of equivalent atoms:
Na 0.000 0.110 0.250
Cd 0.000 0.069 0.750
Cd 0.000 0.332 0.048
Cd 0.000 0.500 0.000
Hg 0.000 0.253 0.750

Copy entry 3 word for word.
Density functional theory data (PBE-GGA) for a relaxed NaCd6Hg6 crystal.

- E_form (eV per atom) = -0.029
- ΔE to the lowest computed polymorph (eV per atom) = 0.0000
- total magnetic moment (μB/atom) = 0.000

a b c (Å): 6.076 10.346 10.406
angles (deg): 90.00 90.00 90.00
Space group Immm (No. 71)
One atom of each set of equivalent atoms:
Na 0.000 0.000 0.000
Cd 0.000 0.238 0.500
Cd 0.250 0.250 0.250
Hg 0.000 0.000 0.317
Hg 0.000 0.355 0.000
Hg 0.000 0.500 0.342